# Mn2Hg2O5 (GGA+U, relaxed)
# Total DFT energy (no corrections), eV/atom: -5.26
data_Mn2Hg2O5
_chemical_formula_sum 'Mn8 Hg8 O20'
_cell_length_a 10.837
_cell_length_b 5.664
_cell_length_c 7.745
_cell_angle_alpha 90.00
_cell_angle_beta 90.00
_cell_angle_gamma 90.00
_symmetry_space_group_name_H-M 'C m c e'
_symmetry_Int_Tables_number 64
_symmetry_space_group_name_Hall '-C 2ac 2'
loop_
_atom_site_label
_atom_site_type_symbol
_atom_site_fract_x
_atom_site_fract_y
_atom_site_fract_z
Mn1 Mn 0.000 0.236 0.249
Hg1 Hg 0.216 0.000 0.000
O1 O 0.000 0.000 0.000
O2 O 0.121 0.013 0.699